DFT (PBE) results for a relaxed Cu7AsI12 crystal.

Symmetry: R-3
Raw formation energy (kJ/mol of formula units): 25
Total magnetization (μB per cell): 0.0

Cell and atoms, written as POSCAR:
```
Cu7AsI12
1.0
7.256 4.189 3.230
-7.256 4.189 3.230
0.000 -8.378 3.230
Cu As I
7 1 12
Cartesian
0.000 0.000 0.000 Cu
-1.674 -1.491 3.283 Cu
-0.454 2.195 3.283 Cu
2.128 -0.705 3.283 Cu
-2.128 0.705 6.408 Cu
0.454 -2.195 6.408 Cu
1.674 1.491 6.408 Cu
0.000 0.000 4.846 As
-2.033 0.882 1.698 I
0.252 -2.202 1.698 I
-3.782 -1.111 4.739 I
-0.929 -3.830 4.952 I
1.781 1.319 1.698 I
-2.853 2.720 4.952 I
2.853 -2.720 4.739 I
-1.781 -1.319 7.993 I
0.929 3.830 4.739 I
3.782 1.111 4.952 I
-0.252 2.202 7.993 I
2.033 -0.882 7.993 I
```